DFT (GGA-PBE) results for a geometry-optimized K3Tb3PaSe8 structure.

a b c (Å): 8.4179 8.4179 23.4028
angles (deg): 90.00 90.00 120.00
Space group R-3m (No. 166, hexagonal axes)
Asymmetric unit:
K  0.0000  0.5000  0.0000 x9
Tb  0.0000  0.5000  0.5000 x9
Pa  0.0000  0.0000  0.5000 x3
Se  0.0000  0.0000  0.2349 x6
Se  0.0023  0.5011  0.2339 x18

Calculated values
ΔE_f (raw) in kJ/mol of atoms: -162.9
Calculated total energy in eV/atom: -5.33
Calculated volume in A^3/atom: 31.915